1.
# TePt PBE relaxed
data_TePt
_chemical_formula_sum 'Te2 Pt2'
_cell_length_a 6.8202
_cell_length_b 3.9655
_cell_length_c 3.9437
_cell_angle_alpha 90.00
_cell_angle_beta 125.19
_cell_angle_gamma 90.00
_symmetry_space_group_name_H-M 'C 1 2/m 1'
_symmetry_Int_Tables_number 12
loop_
_symmetry_equiv_pos_as_xyz
'x,y,z'
'-x,-y,-z'
'-x,y,-z'
'x,-y,z'
'x+1/2,y+1/2,z'
'-x+1/2,-y+1/2,-z'
'-x+1/2,y+1/2,-z'
'x+1/2,-y+1/2,z'
loop_
_atom_site_label
_atom_site_type_symbol
_atom_site_fract_x
_atom_site_fract_y
_atom_site_fract_z
Te1 Te 0.0000 0.0000 0.0000
Pt1 Pt 0.0000 0.5000 0.5000
# total moment	0.000	μB/atom
# formation energy from raw total energies	-18.5	kJ/mol of atoms

***

2.
# NdDyNi2 PBE relaxed
data_NdDyNi2
_chemical_formula_sum 'Nd3 Dy3 Ni6'
_cell_length_a 3.9916
_cell_length_b 3.9916
_cell_length_c 19.3587
_cell_angle_alpha 90.00
_cell_angle_beta 90.00
_cell_angle_gamma 120.00
_symmetry_space_group_name_H-M 'R -3 m'
_symmetry_Int_Tables_number 166
_symmetry_space_group_name_Hall '-R 3 2"'
loop_
_atom_site_label
_atom_site_type_symbol
_atom_site_fract_x
_atom_site_fract_y
_atom_site_fract_z
Nd1 Nd 0.0000 0.0000 0.0000
Dy1 Dy 0.0000 0.0000 0.5000
Ni1 Ni 0.0000 0.0000 0.2459
# total moment	0.000	μB/atom
# distance to the lowest polymorph of the same formula	195	meV/atom
# formation energy from the elements	-0.19	eV/atom

***

3.
# NbSn2Br PBE relaxed
data_NbSn2Br
_chemical_formula_sum 'Nb4 Sn8 Br4'
_cell_length_a 6.4748
_cell_length_b 6.4748
_cell_length_c 14.1931
_cell_angle_alpha 90.00
_cell_angle_beta 90.00
_cell_angle_gamma 90.00
_symmetry_space_group_name_H-M 'I -4 2 d'
_symmetry_Int_Tables_number 122
_symmetry_space_group_name_Hall 'I -4 2bw'
loop_
_atom_site_label
_atom_site_type_symbol
_atom_site_fract_x
_atom_site_fract_y
_atom_site_fract_z
Nb1 Nb 0.0000 0.0000 0.0000
Sn1 Sn 0.1977 0.2500 0.1250
Br1 Br 0.0000 0.0000 0.5000
# total moment	0.061	μB/atom
# formation energy from raw total energies	66.0	kJ/mol of atoms
# distance to the lowest polymorph of the same formula	50	meV/atom

***

4.
# TbSc2Pd PBE relaxed
data_TbSc2Pd
_chemical_formula_sum 'Tb4 Sc8 Pd4'
_cell_length_a 6.6166
_cell_length_b 9.4289
_cell_length_c 6.1158
_cell_angle_alpha 90.00
_cell_angle_beta 90.00
_cell_angle_gamma 90.00
_symmetry_space_group_name_H-M 'P n m a'
_symmetry_Int_Tables_number 62
loop_
_symmetry_equiv_pos_as_xyz
'x,y,z'
'-x,-y,-z'
'-x+1/2,-y,z+1/2'
'x+1/2,y,-z+1/2'
'x+1/2,-y+1/2,-z+1/2'
'-x+1/2,y+1/2,z+1/2'
'-x,y+1/2,-z'
'x,-y+1/2,z'
loop_
_atom_site_label
_atom_site_type_symbol
_atom_site_fract_x
_atom_site_fract_y
_atom_site_fract_z
Tb1 Tb 0.0075 0.2500 0.1202
Sc1 Sc 0.1763 0.0529 0.6771
Pd1 Pd 0.1062 0.7500 0.4217
# total moment	0.000	μB/atom
# distance to the lowest polymorph of the same formula	0	meV/atom
# formation energy from the elements	-0.45	eV/atom

***

5.
# SrLiZn2Cd4 PBE relaxed
data_SrLiZn2Cd4
_chemical_formula_sum 'Sr3 Li3 Zn6 Cd12'
_cell_length_a 4.6734
_cell_length_b 4.6734
_cell_length_c 28.6423
_cell_angle_alpha 90.00
_cell_angle_beta 90.00
_cell_angle_gamma 120.00
_symmetry_space_group_name_H-M 'R -3 m'
_symmetry_Int_Tables_number 166
_symmetry_space_group_name_Hall '-R 3 2"'
loop_
_atom_site_label
_atom_site_type_symbol
_atom_site_fract_x
_atom_site_fract_y
_atom_site_fract_z
Sr1 Sr 0.0000 0.0000 0.0000
Li1 Li 0.0000 0.0000 0.5000
Zn1 Zn 0.0000 0.0000 0.2388
Cd1 Cd 0.0000 0.0000 0.1338
Cd2 Cd 0.0000 0.0000 0.4038
# total moment	0.000	μB/atom
# formation energy from the elements	-0.16	eV/atom

***

6.
# Cr2TePb PBE relaxed
data_Cr2TePb
_chemical_formula_sum 'Cr2 Te1 Pb1'
_cell_length_a 3.3649
_cell_length_b 3.3649
_cell_length_c 8.0162
_cell_angle_alpha 90.00
_cell_angle_beta 90.00
_cell_angle_gamma 90.00
_symmetry_space_group_name_H-M 'P 4 m m'
_symmetry_Int_Tables_number 99
loop_
_symmetry_equiv_pos_as_xyz
'x,y,z'
'-y,x,z'
'-x,-y,z'
'y,-x,z'
'-x,y,z'
'y,x,z'
'x,-y,z'
'-y,-x,z'
loop_
_atom_site_label
_atom_site_type_symbol
_atom_site_fract_x
_atom_site_fract_y
_atom_site_fract_z
Cr1 Cr 0.0000 0.0000 0.0000
Cr2 Cr 0.5000 0.5000 0.1568
Te1 Te 0.5000 0.5000 0.8124
Pb1 Pb 0.0000 0.0000 0.3904
# total moment	0.031	μB/atom
# formation energy from raw total energies	24.8	kJ/mol of atoms
# distance to the lowest polymorph of the same formula	0	meV/atom

***

7.
# NaCu2SnBi PBE relaxed
data_NaCu2SnBi
_chemical_formula_sum 'Na1 Cu2 Sn1 Bi1'
_cell_length_a 4.8736
_cell_length_b 4.8736
_cell_length_c 5.5593
_cell_angle_alpha 90.00
_cell_angle_beta 90.00
_cell_angle_gamma 90.00
_symmetry_space_group_name_H-M 'P 4/m m m'
_symmetry_Int_Tables_number 123
_symmetry_space_group_name_Hall '-P 4 2'
loop_
_atom_site_label
_atom_site_type_symbol
_atom_site_fract_x
_atom_site_fract_y
_atom_site_fract_z
Na1 Na 0.0000 0.0000 0.0000
Cu1 Cu 0.0000 0.5000 0.5000
Sn1 Sn 0.0000 0.0000 0.5000
Bi1 Bi 0.5000 0.5000 0.0000
# total moment	0.000	μB/atom
# formation energy from the elements	0.53	eV/atom

***

8.
# CrCd2As PBE relaxed
data_CrCd2As
_chemical_formula_sum 'Cr4 Cd8 As4'
_cell_length_a 8.7430
_cell_length_b 8.7430
_cell_length_c 4.9729
_cell_angle_alpha 90.00
_cell_angle_beta 90.00
_cell_angle_gamma 90.00
_symmetry_space_group_name_H-M 'I -4 2 d'
_symmetry_Int_Tables_number 122
_symmetry_space_group_name_Hall 'I -4 2bw'
loop_
_atom_site_label
_atom_site_type_symbol
_atom_site_fract_x
_atom_site_fract_y
_atom_site_fract_z
Cr1 Cr 0.0000 0.0000 0.0000
Cd1 Cd 0.1791 0.2500 0.6250
As1 As 0.0000 0.0000 0.5000
# total moment	0.901	μB/atom
# formation energy from the elements	0.34	eV/atom

***

9.
# Tb2Ho2Th5 PBE relaxed
data_Tb2Ho2Th5
_chemical_formula_sum 'Tb2 Ho2 Th5'
_cell_length_a 5.0060
_cell_length_b 6.1937
_cell_length_c 10.6880
_cell_angle_alpha 95.49
_cell_angle_beta 103.51
_cell_angle_gamma 113.82
_symmetry_space_group_name_H-M 'P -1'
_symmetry_Int_Tables_number 2
loop_
_symmetry_equiv_pos_as_xyz
'x,y,z'
'-x,-y,-z'
loop_
_atom_site_label
_atom_site_type_symbol
_atom_site_fract_x
_atom_site_fract_y
_atom_site_fract_z
Tb1 Tb 0.1094 0.2758 0.4440
Ho1 Ho 0.2231 0.0560 0.8903
Th1 Th 0.0000 0.5000 0.0000
Th2 Th 0.3307 0.8310 0.3307
Th3 Th 0.4427 0.6072 0.7778
# total moment	0.000	μB/atom
# formation energy from the elements	0.05	eV/atom

***

10.
# PrY2Cu3 PBE relaxed
data_PrY2Cu3
_chemical_formula_sum 'Pr1 Y2 Cu3'
_cell_length_a 3.5114
_cell_length_b 3.5114
_cell_length_c 10.6702
_cell_angle_alpha 90.00
_cell_angle_beta 90.00
_cell_angle_gamma 90.00
_symmetry_space_group_name_H-M 'P 4/m m m'
_symmetry_Int_Tables_number 123
_symmetry_space_group_name_Hall '-P 4 2'
loop_
_atom_site_label
_atom_site_type_symbol
_atom_site_fract_x
_atom_site_fract_y
_atom_site_fract_z
Pr1 Pr 0.0000 0.0000 0.0000
Y1 Y 0.0000 0.0000 0.3377
Cu1 Cu 0.5000 0.5000 0.1819
Cu2 Cu 0.5000 0.5000 0.5000
# total moment	0.000	μB/atom
# formation energy from the elements	-0.20	eV/atom

***

11.
# Ac2Zn3Sn4Ru PBE relaxed
data_Ac2Zn3Sn4Ru
_chemical_formula_sum 'Ac2 Zn3 Sn4 Ru1'
_cell_length_a 4.6850
_cell_length_b 4.6850
_cell_length_c 11.1336
_cell_angle_alpha 90.00
_cell_angle_beta 90.00
_cell_angle_gamma 90.00
_symmetry_space_group_name_H-M 'P -4 m 2'
_symmetry_Int_Tables_number 115
loop_
_symmetry_equiv_pos_as_xyz
'x,y,z'
'y,-x,-z'
'-x,-y,z'
'-y,x,-z'
'-x,y,z'
'-y,-x,-z'
'x,-y,z'
'y,x,-z'
loop_
_atom_site_label
_atom_site_type_symbol
_atom_site_fract_x
_atom_site_fract_y
_atom_site_fract_z
Ac1 Ac 0.0000 0.5000 0.2351
Zn1 Zn 0.0000 0.0000 0.0000
Zn2 Zn 0.0000 0.5000 0.6401
Sn1 Sn 0.0000 0.0000 0.5000
Sn2 Sn 0.0000 0.5000 0.8794
Sn3 Sn 0.5000 0.5000 0.5000
Ru1 Ru 0.5000 0.5000 0.0000
# total moment	0.007	μB/atom
# formation energy from the elements	-0.36	eV/atom

***

12.
# K4Tb3PaSe8 PBE relaxed
data_K4Tb3PaSe8
_chemical_formula_sum 'K12 Tb9 Pa3 Se24'
_cell_length_a 8.4514
_cell_length_b 8.4514
_cell_length_c 23.1280
_cell_angle_alpha 90.00
_cell_angle_beta 90.00
_cell_angle_gamma 120.00
_symmetry_space_group_name_H-M 'R -3 m'
_symmetry_Int_Tables_number 166
_symmetry_space_group_name_Hall '-R 3 2"'
loop_
_atom_site_label
_atom_site_type_symbol
_atom_site_fract_x
_atom_site_fract_y
_atom_site_fract_z
K1 K 0.0000 0.0000 0.0000
K2 K 0.0000 0.5000 0.0000
Tb1 Tb 0.0000 0.5000 0.5000
Pa1 Pa 0.0000 0.0000 0.5000
Se1 Se 0.0000 0.0000 0.2356
Se2 Se 0.0004 0.5002 0.2360
# total moment	0.115	μB/atom
# formation energy from raw total energies	-157.9	kJ/mol of atoms

***

Number 1: electronic total energy -4.78 eV/atom. Number 2: electronic total energy -5.42 eV/atom. Number 3: electronic total energy -4.25 eV/atom. Number 4: electronic total energy -6.07 eV/atom. Number 5: electronic total energy -1.39 eV/atom. Number 6: electronic total energy -6.27 eV/atom. Number 7: electronic total energy -2.95 eV/atom. Number 8: electronic total energy -3.68 eV/atom. Number 9: electronic total energy -6.12 eV/atom. Number 10: electronic total energy -5.20 eV/atom. Number 11: electronic total energy -4.09 eV/atom. Number 12: electronic total energy -5.11 eV/atom.